DFT (PBE) results for crystalline Zr6Rh5Au at its relaxed geometry.

abc: 4.715 6.616 8.155
angles: 113.93 106.80 90.00
Sites, in units of the cell vectors:
Zr  0.169  0.917  0.339
Zr  0.169  0.422  0.339
Zr  0.831  0.083  0.661
Rh  0.334  0.334  0.667
Rh  0.332  0.832  0.664
Rh  0.668  0.168  0.336
Rh  0.666  0.666  0.333
Au  0.000  0.000  0.000
Zr  0.500  0.743  0.000
Zr  0.831  0.578  0.661
Zr  0.500  0.257  0.000
Rh  0.000  0.500  0.000

The total magnetization comes out at 0.000 μB/f.u. Its total energy is -8.30 eV per atom. For the density of states at the Fermi level, the calculation gives 11.29 states/eV/cell. The space-group type is Immm.


DFT (PBE) results for crystalline CdFeTe2 at its relaxed geometry.

abc: 8.623 8.623 8.623
angles: 29.20 29.20 29.20
Each line ends with the local moment (μB).
Sites, in units of the cell vectors:
Fe  0.000  0.000  0.000  3.19
Te  0.100  0.100  0.100  0.06
Cd  0.500  0.500  0.500  0.02
Te  0.900  0.900  0.900  0.06

The value obtained for the energy relative to the elements, uncorrected is 376 meV per atom. The total magnetization comes out at 3.632 μB/f.u. Its total energy is -3.54 eV per atom. For the density of states at the Fermi level, the calculation gives 6.75 states/eV/cell. The space-group type is R-3m.


DFT (PBE) results for crystalline Sc2NbAu2 at its relaxed geometry.

abc: 7.801 7.801 3.276
angles: 90.00 90.00 90.00
Each line ends with the local moment (μB).
Sites, in units of the cell vectors:
Au  0.368  0.868  0.000  0.01
Nb  0.000  0.000  0.000  0.48
Nb  0.500  0.500  0.000  0.48
Sc  0.332  0.168  0.500  0.02
Au  0.632  0.132  0.000  0.01
Au  0.132  0.368  0.000  0.01
Sc  0.668  0.832  0.500  0.02
Sc  0.168  0.668  0.500  0.02
Sc  0.832  0.332  0.500  0.02
Au  0.868  0.632  0.000  0.01

The total magnetization comes out at 0.678 μB/f.u. Its total energy is -6.24 eV per atom. For the density of states at the Fermi level, the calculation gives 8.80 states/eV/cell. The space-group type is P4/mbm.


DFT (PBE) results for crystalline Hf3Al7V2 at its relaxed geometry.

abc: 5.257 5.257 9.081
angles: 73.17 73.17 60.00
Sites, in units of the cell vectors:
Al  0.586  0.586  0.753
Al  0.586  0.076  0.753
Hf  0.000  0.000  0.000
Al  0.414  0.924  0.247
V  0.335  0.335  0.995
Al  0.414  0.414  0.247
Hf  0.852  0.852  0.445
Al  0.076  0.586  0.753
Al  0.500  0.500  0.500
V  0.665  0.665  0.005
Hf  0.148  0.148  0.555
Al  0.924  0.414  0.247

The total magnetization comes out at 0.001 μB/f.u. Its total energy is -6.43 eV per atom. For the density of states at the Fermi level, the calculation gives 11.37 states/eV/cell. The space-group type is R-3m.


DFT (PBE) results for crystalline Tm5Te4As at its relaxed geometry.

abc: 4.183 4.183 15.911
angles: 97.55 97.55 90.00
Sites, in units of the cell vectors:
Tm  0.500  0.500  0.000
Te  0.397  0.397  0.795
Tm  0.287  0.287  0.575
Te  0.190  0.190  0.380
Te  0.603  0.603  0.205
Tm  0.913  0.913  0.827
Tm  0.713  0.713  0.425
Te  0.810  0.810  0.620
As  0.000  0.000  0.000
Tm  0.087  0.087  0.173

The value obtained for the energy relative to the elements, uncorrected is -1274 meV per atom. The total magnetization comes out at 0.000 μB/f.u. Its total energy is -5.23 eV per atom. For the density of states at the Fermi level, the calculation gives 4.39 states/eV/cell. The space-group type is I4/mmm.


DFT (PBE) results for crystalline FeSb2I8 at its relaxed geometry.

abc: 8.404 8.038 11.438
angles: 98.82 90.00 121.51
Each line ends with the local moment (μB).
Sites, in units of the cell vectors:
I  0.663  0.790  0.869  0.07
Sb  0.195  0.389  0.328  0.01
I  0.232  0.464  0.585  0.01
I  0.873  0.210  0.131  0.07
Fe  0.000  0.000  0.000  3.32
I  0.127  0.790  0.869  0.07
I  0.768  0.536  0.415  0.01
I  0.386  0.773  0.291  0.00
Sb  0.805  0.611  0.672  0.01
I  0.337  0.210  0.131  0.07
I  0.614  0.227  0.709  0.00

The value obtained for the energy relative to the elements, uncorrected is -106 meV per atom. The total magnetization comes out at 3.986 μB/f.u. Its total energy is -2.75 eV per atom. For the density of states at the Fermi level, the calculation gives 3.26 states/eV/cell. The space-group type is C2/m.